Density functional theory data (PBE) for an optimized crystal structure of Na2SrBr.

Properties
raw formation energy: -229 kJ/mol of formula units
uncorrected energy: -2.092 eV per atom

The structure in POSCAR format:
```
Na2SrBr
1.0
-9.2006 3.7229 -1.6948
0.6705 -2.7428 -9.6649
-5.5277 -2.3088 -4.9732
Sr Na Br
2 4 2
Cartesian
-9.4966 0.9520 -6.1739 Sr
0.0000 0.0000 0.0000 Sr
-2.7552 -1.5662 -7.6140 Na
-11.6564 -0.6826 -12.9950 Na
-7.2977 -1.5555 -8.6644 Na
-6.4062 1.1469 -3.3924 Na
-4.2650 0.4900 -5.6799 Br
-4.5611 -2.2808 -10.1590 Br
```

=====

Density functional theory data (PBE) for an optimized crystal structure of TbNd2HoTm2.

Properties
uncorrected energy: -4.543 eV per atom
formation enthalpy at 0 K: 0.0713 eV per atom

The structure in POSCAR format:
```
TbNd2HoTm2
1.0
5.6429 0.0000 0.0000
0.0000 6.9852 0.0000
0.0000 0.0000 9.7787
Nd Tm Ho Tb
4 4 2 2
Cartesian
2.8215 3.5478 9.7771 Nd
0.0000 5.2953 8.0749 Nd
0.0000 1.8027 1.7038 Nd
2.8215 0.0552 0.0017 Nd
2.8215 5.2896 6.5187 Tm
2.8215 1.7970 3.2600 Tm
0.0000 5.2948 1.6101 Tm
0.0000 1.8022 8.1686 Tm
2.8215 1.7960 6.4677 Ho
2.8215 5.2886 3.3111 Ho
0.0000 0.0507 4.8876 Tb
0.0000 3.5433 4.8911 Tb
```

=====

Density functional theory data (PBE) for an optimized crystal structure of SrMg3S.

Properties
raw formation energy: 528 kJ/mol of formula units
uncorrected energy: -1.023 eV per atom

The structure in POSCAR format:
```
SrMg3S
1.0
-0.9990 -4.3397 -4.5563
-1.7590 -4.2369 4.4211
-6.0414 1.9512 -0.5338
Mg S Sr
3 1 1
Cartesian
-3.0207 0.9756 -0.2669 Mg
-0.4995 -2.1698 -2.2782 Mg
-0.8795 -2.1184 2.2105 Mg
-4.3997 -3.3127 -0.3345 S
0.0000 0.0000 0.0000 Sr
```

=====

Density functional theory data (PBE) for an optimized crystal structure of CaZnSi2.

Properties
raw formation energy: -44 kJ/mol of formula units
uncorrected energy: -3.643 eV per atom

The structure in POSCAR format:
```
CaZnSi2
1.0
-0.8609 0.3721 -6.1799
1.6734 -4.0640 -4.4446
-2.8713 0.7657 5.4991
Zn Si Ca
1 2 1
Cartesian
0.3886 -1.7659 -5.0819 Zn
0.7964 -3.6187 -10.4137 Si
-1.5943 -0.6660 -3.8940 Si
-0.4307 -2.4136 -1.6725 Ca
```

=====

Density functional theory data (PBE) for an optimized crystal structure of Sm8Ho6Er.

Properties
uncorrected energy: -4.474 eV per atom
formation enthalpy at 0 K: 0.1783 eV per atom

The structure in POSCAR format:
```
Sm8Ho6Er
1.0
-4.1421 4.6054 1.9997
-3.3434 -5.8417 6.5282
7.2262 5.6291 2.0041
Sm Ho Er
8 6 1
Cartesian
-0.3260 -1.4558 5.2644 Sm
2.6893 7.8116 5.2255 Sm
0.0667 5.8486 5.2677 Sm
0.1575 0.5113 2.6893 Sm
-0.4168 3.8815 7.8427 Sm
-2.9486 -3.4188 5.3065 Sm
-1.5131 5.2306 2.4648 Sm
1.2539 -0.8378 8.0672 Sm
-1.7033 2.4264 4.8717 Ho
-4.2544 -0.2621 5.7793 Ho
-1.7074 0.9036 8.3704 Ho
1.4441 1.9664 5.6603 Ho
1.4481 3.4892 2.1616 Ho
3.9951 4.6549 4.7527 Ho
-2.0711 2.3027 0.9998 Er
```

=====

Density functional theory data (PBE) for an optimized crystal structure of La3Cu2Pt4Pb2.

Properties
uncorrected energy: -5.636 eV per atom
formation enthalpy at 0 K: -0.6765 eV per atom

The structure in POSCAR format:
```
La3Cu2Pt4Pb2
1.0
-4.2482 -1.2913 0.7224
1.7364 -0.1955 -4.1453
4.7163 -14.0399 2.6378
Pt Pb Cu La
4 2 2 3
Cartesian
3.8789 -12.8775 -0.2087 Pt
0.7646 -9.9103 0.7877 Pt
-1.6745 -2.6493 -0.5764 Pt
1.4398 -5.6165 -1.5729 Pt
2.4295 -8.5627 -1.0194 Pb
-0.2251 -6.9641 0.2342 Pb
1.8397 -13.1105 1.3890 Cu
0.3648 -2.4162 -2.1741 Cu
3.5247 -10.4926 1.9713 La
1.1916 -3.5473 0.6665 La
0.0000 0.0000 0.0000 La
```

=====

Density functional theory data (PBE) for an optimized crystal structure of PmMg2Au.

Properties
uncorrected energy: -3.302 eV per atom
formation enthalpy at 0 K: -0.4982 eV per atom

The structure in POSCAR format:
```
PmMg2Au
1.0
-5.5278 -1.3815 -0.2087
1.6138 -7.0363 3.8323
-2.3856 7.3536 14.5061
Au Mg Pm
8 16 8
Cartesian
-1.2610 1.5116 16.3795 Au
-5.0385 -2.5758 1.7501 Au
-2.3344 -2.7315 9.0409 Au
-4.5623 -1.2897 12.6264 Au
-1.7373 0.2255 5.5032 Au
-3.3749 -4.9678 5.3732 Au
-3.9651 1.6673 9.0887 Au
-2.9246 3.9036 12.7565 Au
-3.5803 6.3489 14.1176 Mg
-3.8937 -3.7318 11.2657 Mg
-1.2322 1.8109 13.5170 Mg
-2.4059 2.6675 6.8639 Mg
-4.5241 -0.9831 9.7686 Mg
-5.6969 -0.1302 3.1176 Mg
-2.9499 3.6002 15.6147 Mg
-2.7193 -7.4131 4.0120 Mg
-5.0673 -2.8752 4.6126 Mg
-2.2972 -2.4301 6.1787 Mg
-3.3497 -4.6644 2.5149 Mg
-1.7754 -0.0812 8.3610 Mg
-4.0023 1.3659 11.9509 Mg
-4.6319 4.1108 10.4559 Mg
-0.6027 -0.9340 15.0120 Mg
-1.6677 -5.1750 7.6737 Mg
-4.8884 -3.9222 7.9303 Pm
-1.5997 -1.1654 11.6070 Pm
-1.4112 2.8580 10.1993 Pm
-3.9034 0.2989 15.2656 Pm
-0.4400 -4.8504 4.3528 Pm
-4.6999 0.1012 6.5226 Pm
-2.3962 -1.3631 2.8640 Pm
-5.8596 3.7862 13.7769 Pm
```

=====

Density functional theory data (PBE) for an optimized crystal structure of TiCrW.

Properties
uncorrected energy: -10.182 eV per atom
formation enthalpy at 0 K: -0.0249 eV per atom

The structure in POSCAR format:
```
TiCrW
1.0
-1.1826 2.2557 1.6886
-0.3063 -1.9233 2.3548
3.5701 1.3094 3.5165
Cr Ti W
1 1 1
Cartesian
1.1269 -0.5767 2.8770 Cr
-0.7609 1.1286 2.0415 Ti
1.6569 -0.0728 5.3402 W
```

=====

Density functional theory data (PBE) for an optimized crystal structure of TeRuBr2.

Properties
raw formation energy: 325 kJ/mol of formula units
uncorrected energy: -3.098 eV per atom

The structure in POSCAR format:
```
TeRuBr2
1.0
3.4431 0.0000 0.0000
0.0000 5.5455 -0.0512
0.0000 3.8244 4.5535
Te Ru Br
1 1 2
Cartesian
0.0000 1.9122 2.2767 Te
1.7215 4.6849 2.2511 Ru
0.0000 0.0000 0.0000 Br
1.7215 2.7727 -0.0256 Br
```

=====

Density functional theory data (PBE) for an optimized crystal structure of Y2PCl.

Properties
raw formation energy: -445 kJ/mol of formula units
uncorrected energy: -6.200 eV per atom

The structure in POSCAR format:
```
Y2PCl
1.0
-1.9601 -1.0536 2.7694
3.4432 -0.0227 0.8750
-0.5747 7.5268 2.4568
Cl Y P
1 2 1
Cartesian
0.5979 1.3435 2.4364 Cl
-0.5579 7.3070 2.3850 Y
-0.3041 3.9832 1.3002 Y
0.3105 5.1069 3.6648 P
```

=====

Density functional theory data (PBE) for an optimized crystal structure of UPa2Se.

Properties
raw formation energy: -97 kJ/mol of formula units
uncorrected energy: -8.693 eV per atom

The structure in POSCAR format:
```
UPa2Se
1.0
3.7234 0.0000 0.0000
0.0000 3.7234 0.0000
0.0000 0.0000 6.3899
Se Pa U
1 2 1
Cartesian
1.8617 1.8617 3.1949 Se
0.0000 0.0000 1.5286 Pa
0.0000 0.0000 4.8613 Pa
1.8617 1.8617 0.0000 U
```

=====

Density functional theory data (PBE) for an optimized crystal structure of AcPm2Zn4.

Properties
uncorrected energy: -2.760 eV per atom
formation enthalpy at 0 K: -0.0876 eV per atom

The structure in POSCAR format:
```
AcPm2Zn4
1.0
-1.4805 -4.3334 -2.2799
2.6823 -2.7104 3.4098
-6.6715 3.2128 3.9647
Ac Zn Pm
1 4 2
Cartesian
0.0000 0.0000 0.0000 Ac
-3.1228 -1.5825 5.0358 Zn
-5.2042 -2.3940 2.1909 Zn
-2.3470 -2.2485 0.0589 Zn
-0.2655 -1.4370 2.9038 Zn
-2.3267 -3.6709 2.7494 Pm
-3.1431 -0.1600 2.3453 Pm
```

=====

Density functional theory data (PBE) for an optimized crystal structure of Sr4Sn3Pb.

Properties
uncorrected energy: -3.452 eV per atom
formation enthalpy at 0 K: -0.6463 eV per atom

The structure in POSCAR format:
```
Sr4Sn3Pb
1.0
5.0855 0.0000 0.0000
0.0000 4.6008 0.0000
0.0000 0.0000 12.1929
Sr Sn Pb
4 3 1
Cartesian
0.0000 2.3004 10.5173 Sr
0.0000 0.0000 1.6468 Sr
2.5428 2.3004 4.4845 Sr
2.5428 0.0000 7.7417 Sr
0.0000 2.3004 7.0543 Sn
2.5428 0.0000 11.1896 Sn
0.0000 0.0000 5.1277 Sn
2.5428 2.3004 1.0097 Pb
```

=====

Density functional theory data (PBE) for an optimized crystal structure of YTaBr2.

Properties
raw formation energy: 59 kJ/mol of formula units
uncorrected energy: -5.263 eV per atom

The structure in POSCAR format:
```
YTaBr2
1.0
4.8799 0.1714 0.0000
-0.1705 4.8799 0.0000
0.0000 0.0000 3.5273
Ta Br Y
1 2 1
Cartesian
2.4399 0.0857 1.7637 Ta
2.3547 2.5256 0.0000 Br
0.0000 0.0000 0.0000 Br
-0.0853 2.4399 1.7637 Y
```

=====

Density functional theory data (PBE) for an optimized crystal structure of HoPaIrSe.

Properties
raw formation energy: -432 kJ/mol of formula units
uncorrected energy: -7.725 eV per atom

The structure in POSCAR format:
```
HoPaIrSe
1.0
-0.1368 -2.3232 3.2063
3.3945 1.7723 -1.0195
-2.8038 6.6726 2.2664
Pa Se Ir Ho
1 1 1 1
Cartesian
-0.6685 6.2505 2.5134 Pa
-1.3513 3.2848 2.7843 Se
2.9539 2.1059 -0.3347 Ir
0.1798 0.7381 3.4518 Ho
```

=====

Density functional theory data (PBE) for an optimized crystal structure of Al2Zn5Ag12.

Properties
uncorrected energy: -2.438 eV per atom
formation enthalpy at 0 K: 0.0924 eV per atom

The structure in POSCAR format:
```
Al2Zn5Ag12
1.0
6.3530 -0.0666 2.1298
-1.0417 6.6188 3.3143
0.0938 -0.0848 8.6287
Ag Al Zn
12 2 5
Cartesian
1.1441 0.4689 7.8531 Ag
4.2610 5.9985 6.2198 Ag
5.6953 0.7269 5.5094 Ag
5.2926 3.2858 6.7907 Ag
4.1473 3.5166 11.1405 Ag
2.5349 2.6813 8.9292 Ag
0.1125 3.1817 7.2822 Ag
1.2578 2.9508 2.9323 Ag
2.1181 5.3294 10.2552 Ag
3.2869 1.1380 3.8177 Ag
-0.2902 5.7405 8.5635 Ag
2.8701 3.7861 5.1437 Ag
-0.3177 2.0188 1.0109 Al
-0.7240 4.6000 2.3034 Al
3.3746 1.4056 6.6836 Zn
3.1765 -0.0333 1.0649 Zn
4.3704 4.7464 8.7547 Zn
2.0305 5.0618 7.3893 Zn
1.0346 1.7210 5.3181 Zn
```

=====

Density functional theory data (PBE) for an optimized crystal structure of AcPrNd2Dy5.

Properties
uncorrected energy: -4.364 eV per atom
formation enthalpy at 0 K: 0.2402 eV per atom

The structure in POSCAR format:
```
AcPrNd2Dy5
1.0
8.8364 0.0000 0.0000
0.0000 8.8364 0.0000
-4.4182 -4.4182 7.9394
Nd Dy Ac Pr
4 10 2 2
Cartesian
5.4615 1.0433 0.0000 Nd
3.3749 7.7931 0.0000 Nd
7.7931 5.4615 0.0000 Nd
1.0433 3.3749 0.0000 Nd
7.0220 2.6038 2.0990 Dy
0.0000 0.0000 0.0000 Dy
-1.8144 -2.6038 5.8404 Dy
4.4182 4.4182 0.0000 Dy
-2.6038 1.8144 5.8404 Dy
1.8144 6.2326 2.0990 Dy
6.2326 7.0220 2.0990 Dy
2.6038 1.8144 2.0990 Dy
2.6038 -1.8144 5.8404 Dy
1.8144 2.6038 5.8404 Dy
0.0000 0.0000 3.9697 Ac
4.4182 4.4182 3.9697 Ac
0.0000 4.4182 3.9697 Pr
4.4182 0.0000 3.9697 Pr
```